The following is a PBE calculation of crystalline Ho15Er4Zr at its relaxed geometry, from Alexandria.

Structure (extended XYZ):
```
20
Lattice="4.959 0.000 0.000 0.000 4.959 0.000 0.000 0.000 24.690" Properties=species:S:1:pos:R:3 pbc="T T T"
Ho 0.000 0.000 0.000
Ho 0.000 0.000 4.871
Ho 0.000 0.000 9.850
Ho 0.000 0.000 14.840
Ho 0.000 0.000 19.819
Ho 0.000 2.479 2.330
Ho 0.000 2.479 7.345
Ho 0.000 2.479 12.345
Ho 0.000 2.479 17.345
Ho 0.000 2.479 22.360
Ho 2.479 0.000 2.330
Ho 2.479 0.000 7.345
Ho 2.479 0.000 12.345
Ho 2.479 0.000 17.345
Ho 2.479 0.000 22.360
Er 2.479 2.479 4.882
Er 2.479 2.479 9.849
Er 2.479 2.479 14.841
Er 2.479 2.479 19.808
Zr 2.479 2.479 0.000
```

Output
**Space group**: No. 123
**ΔH_f (0 K)**: 0.0327 eV/atom

---

The following is a PBE calculation of crystalline Rb4Mn3GaBr12 at its relaxed geometry, from Alexandria.

Structure (extended XYZ):
```
20
Lattice="-5.417 5.417 5.417 5.417 -5.417 5.417 5.417 5.417 -5.417" Properties=species:S:1:pos:R:3 pbc="T T T"
Rb 2.708 2.708 -2.708
Rb 2.708 -2.708 2.708
Rb -2.708 2.708 2.708
Rb 2.708 2.708 2.708
Mn 5.417 0.000 0.000
Mn 0.000 5.417 0.000
Mn 0.000 0.000 5.417
Ga 0.000 0.000 0.000
Br 2.820 0.000 0.000
Br 8.014 0.000 0.000
Br 5.417 2.708 0.000
Br 5.417 0.000 2.708
Br 0.000 2.820 0.000
Br 0.000 0.000 2.820
Br 2.708 5.417 0.000
Br 2.708 0.000 5.417
Br 0.000 8.014 0.000
Br 0.000 0.000 8.014
Br 0.000 5.417 2.708
Br 0.000 2.708 5.417
```

Output
**Space group**: No. 229

---

The following is a PBE calculation of crystalline Ca2NiRh at its relaxed geometry, from Alexandria.

Structure (extended XYZ):
```
4
Lattice="2.083 1.203 7.226 -2.083 1.203 7.226 0.000 -2.405 7.226" Properties=species:S:1:pos:R:3 pbc="T T T"
Ca 0.000 0.000 0.000
Ca 0.000 0.000 3.573
Ni 0.000 0.000 9.004
Rh 0.000 0.000 16.244
```

Output
**Space group**: No. 160
**ΔH_f (0 K)**: -0.2589 eV/atom

---

| no. | spin magnetization (μB/atom) | final energy (eV/atom) |
| --- | --- | --- |
| 1 | 0.000 | -4.741 |
| 2 | 0.699 | -3.861 |
| 3 | 0.020 | -4.543 |